# Al2HgCl6, optimized geometry, DFT PBE-GGA
data_Al2HgCl6
_chemical_formula_sum 'Al8 Hg4 Cl24'
_cell_length_a 14.845
_cell_length_b 13.037
_cell_length_c 7.861
_cell_angle_alpha 90.00
_cell_angle_beta 105.67
_cell_angle_gamma 90.00
_symmetry_space_group_name_H-M 'C 1 2/c 1'
_symmetry_Int_Tables_number 15
_symmetry_space_group_name_Hall '-C 2yc'
loop_
_atom_site_label
_atom_site_type_symbol
_atom_site_fract_x
_atom_site_fract_y
_atom_site_fract_z
Al1 Al 0.194 0.175 0.349
Hg1 Hg 0.000 0.484 0.750
Cl1 Cl 0.110 0.236 0.113
Cl2 Cl 0.161 0.251 0.585
Cl3 Cl 0.206 0.016 0.387
# raw formation energy = -11.80 eV per formula unit
# volume = 1464.9 Å³ per cell
# N(E_F) = 0.0 states/eV per cell
# magnetization = 0.0 Bohr magnetons per cell